# YMoIO2

A relaxed YMoIO2 crystal (PBE+U, the Alexandria database).

Geometry as POSCAR:
```
YMoIO2
1.0
4.372 0.000 0.000
0.000 4.372 0.000
0.000 0.000 6.425
I Y Mo O
1 1 1 2
Direct
0.000 0.000 0.500 I
0.000 0.000 0.000 Y
0.500 0.500 0.500 Mo
0.000 0.500 0.000 O
0.500 0.000 0.000 O
```

## Properties
For the calculated total energy, the calculation gives -0.2196 hartree per atom. The space group is P4/mmm, No. 123. The value obtained for the theoretical density is 4647 kg/m³.